! PBE-GGA CaCr2Cl, optimized geometry; values from VASP
! Raw formation energy in eV/f.u.: 1.91
! SG: P4/mmm (123)
! E above lowest polymorph in meV/atom: 626.5
! Density of states at the Fermi level in states/eV per cell: 2.1
! Raw total energy in eV/atom: -5.2973
&SYSTEM
  ibrav = 0, nat = 4, ntyp = 3
/
ATOMIC_SPECIES
Cr 52.00 Cr.upf
Ca 40.08 Ca.upf
Cl 35.45 Cl.upf
ATOMIC_POSITIONS crystal
Cr 0.000 0.000 0.501
Cr 0.000 0.000 0.999
Ca 0.500 0.500 0.250
Cl 0.500 0.500 0.750
CELL_PARAMETERS angstrom
4.148 0.000 0.000
0.000 4.148 0.000
0.000 0.000 5.791


! PBE-GGA TeHIr2, optimized geometry; values from VASP
! SG: Fm-3m (225)
! E above lowest polymorph in meV/atom: 465.9
! Density of states at the Fermi level in states/eV per cell: 4.4
! Raw total energy in eV/atom: -5.2977
&SYSTEM
  ibrav = 0, nat = 4, ntyp = 3
/
ATOMIC_SPECIES
H 1.01 H.upf
Ir 192.22 Ir.upf
Te 127.60 Te.upf
ATOMIC_POSITIONS crystal
H 0.000 0.000 0.000
Ir 0.750 0.750 0.750
Ir 0.250 0.250 0.250
Te 0.500 0.500 0.500
CELL_PARAMETERS angstrom
0.000 3.064 3.064
3.064 0.000 3.064
3.064 3.064 0.000


! PBE-GGA PPd8Pb2, optimized geometry; values from VASP
! ΔE_f in eV per atom: -0.302
! SG: C2/m (12)
! Density of states at the Fermi level in states/eV per cell: 5.1
! Raw total energy in eV/atom: -5.2449
&SYSTEM
  ibrav = 0, nat = 11, ntyp = 3
/
ATOMIC_SPECIES
Pb 207.20 Pb.upf
Pd 106.42 Pd.upf
P 30.97 P.upf
ATOMIC_POSITIONS crystal
Pb 0.818 0.318 0.637
Pd 0.000 0.765 0.001
Pd 0.375 0.621 0.751
Pb 0.182 0.682 0.363
Pd 0.625 0.379 0.249
Pd 0.375 0.127 0.749
P 0.500 0.000 0.000
Pd 0.000 0.235 0.999
Pd 0.625 0.873 0.251
Pd 0.193 0.194 0.386
Pd 0.807 0.806 0.614
CELL_PARAMETERS angstrom
4.606 0.000 0.000
0.000 5.798 -0.175
-2.303 -2.692 7.079


! PBE-GGA Cs5LiSn6, optimized geometry; values from VASP
! ΔE_f in eV per atom: -0.174
! SG: C2/m (12)
! Density of states at the Fermi level in states/eV per cell: 2.0
! Raw total energy in eV/atom: -2.6909
&SYSTEM
  ibrav = 0, nat = 12, ntyp = 3
/
ATOMIC_SPECIES
Sn 118.71 Sn.upf
Cs 132.91 Cs.upf
Li 6.94 Li.upf
ATOMIC_POSITIONS crystal
Sn 0.788 0.039 0.209
Sn 0.212 0.753 0.209
Sn 0.788 0.247 0.791
Cs 0.500 0.232 0.537
Sn 0.325 0.094 0.000
Cs 0.000 0.346 0.309
Cs 0.500 0.768 0.463
Sn 0.675 0.906 0.000
Li 0.000 0.000 0.000
Cs 0.500 0.500 0.000
Sn 0.212 0.961 0.791
Cs 0.000 0.654 0.691
CELL_PARAMETERS angstrom
9.786 -0.589 1.354
2.148 6.537 3.945
-0.054 -0.336 8.560


Q: Look up the density of states at the Fermi level of the first one.
A: 2.1 states/eV per cell


Q: Among the records above, which one has the lowest density of states at the Fermi level?
A: Cs5LiSn6


Copy entry 2 word for word.
! PBE-GGA TeHIr2, optimized geometry; values from VASP
! SG: Fm-3m (225)
! E above lowest polymorph in meV/atom: 465.9
! Density of states at the Fermi level in states/eV per cell: 4.4
! Raw total energy in eV/atom: -5.2977
&SYSTEM
  ibrav = 0, nat = 4, ntyp = 3
/
ATOMIC_SPECIES
H 1.01 H.upf
Ir 192.22 Ir.upf
Te 127.60 Te.upf
ATOMIC_POSITIONS crystal
H 0.000 0.000 0.000
Ir 0.750 0.750 0.750
Ir 0.250 0.250 0.250
Te 0.500 0.500 0.500
CELL_PARAMETERS angstrom
0.000 3.064 3.064
3.064 0.000 3.064
3.064 3.064 0.000


Q: Which value of raw total energy does entry 4 give?
A: -2.6909 eV/atom